SrMg3: optimized geometry, PBEsol.

Properties
The calculation puts the theoretical density at 2.288 g cm⁻³. The density of states at the Fermi level comes out at 0.7403 states/eV/atom. The total magnetic moment is 0.000 μB per formula unit. The value obtained for the total energy is -1.7702 eV per atom. The space group is No. 194.

Cell: 5.337 7.101 7.101 Å, 120.00 90.00 90.00°
Fractional coordinates of all 8 atoms:
Sr 0.750 0.667 0.333
Sr 0.250 0.333 0.667
Mg 0.750 0.151 0.303
Mg 0.250 0.849 0.697
Mg 0.750 0.151 0.849
Mg 0.250 0.849 0.151
Mg 0.750 0.697 0.849
Mg 0.250 0.303 0.151

***

LaReSb: optimized geometry, PBEsol.

Properties
The calculation puts the theoretical density at 9.564 g cm⁻³. The density of states at the Fermi level comes out at 1.3058 states/eV/atom. The value obtained for the raw formation energy is 61 kJ per mole of atoms. The total magnetic moment is 1.273 μB per formula unit. The space group is No. 216.

Cell: 4.787 4.787 4.787 Å, 60.00 60.00 60.00°
Last column: magnetic moment on the atom in μB.
Fractional coordinates of all 3 atoms:
La 0.000 0.000 0.000  0.04
Re 0.500 0.500 0.500  0.93
Sb 0.250 0.250 0.250  0.00

***

YAs2Pt: optimized geometry, PBEsol.

Properties
The calculation puts the theoretical density at 9.933 g cm⁻³. The density of states at the Fermi level comes out at 0.4513 states/eV/atom. The total magnetic moment is 0.000 μB per formula unit. The value obtained for the total energy is -6.7352 eV per atom. The space group is No. 123.

Cell: 3.672 4.444 4.444 Å, 90.00 90.00 90.00°
Fractional coordinates of all 4 atoms:
Y 0.500 0.000 0.000
As 0.000 0.000 0.500
As 0.000 0.500 0.000
Pt 0.500 0.500 0.500

***

Ca2AlHg: optimized geometry, PBEsol.

Properties
The calculation puts the theoretical density at 5.075 g cm⁻³. The density of states at the Fermi level comes out at 0.4919 states/eV/atom. The total magnetic moment is 0.000 μB per formula unit. The value obtained for the total energy is -2.6317 eV per atom. The space group is No. 25.

Cell: 3.620 5.229 5.319 Å, 90.00 90.00 90.00°
Fractional coordinates of all 4 atoms:
Ca 0.000 0.000 0.105
Ca 0.000 0.500 0.648
Hg 0.500 0.000 0.585
Al 0.500 0.500 0.162